A PBEsol-optimized structure of LaZr2Ag2, computed with meta-GGA SCAN. Values from VASP.

Formation energy ... 0.1 eV/f.u.

The structure in Quantum ESPRESSO input format:
```
&SYSTEM
  ibrav = 0, nat = 5, ntyp = 3
/
ATOMIC_SPECIES
La 138.91 La.upf
Zr 91.22 Zr.upf
Ag 107.87 Ag.upf
ATOMIC_POSITIONS angstrom
La 0.000 0.000 0.000
Zr 2.042 0.000 3.517
Zr 0.000 2.042 3.517
Ag 0.000 0.000 5.644
Ag 0.000 0.000 8.422
CELL_PARAMETERS angstrom
-2.042 2.042 7.033
2.042 -2.042 7.033
2.042 2.042 -7.033
```

=====

A PBEsol-optimized structure of TaRh2Br, computed with meta-GGA SCAN. Values from VASP.

Distance to the lowest polymorph of the same formula ... 0 meV per atom

The structure in Quantum ESPRESSO input format:
```
&SYSTEM
  ibrav = 0, nat = 4, ntyp = 3
/
ATOMIC_SPECIES
Ta 180.95 Ta.upf
Rh 102.91 Rh.upf
Br 79.90 Br.upf
ATOMIC_POSITIONS angstrom
Ta 0.000 0.000 0.000
Rh 1.586 1.576 5.742
Rh 1.604 1.576 1.379
Br 1.595 0.000 3.561
CELL_PARAMETERS angstrom
3.210 0.000 0.000
0.000 3.153 0.000
-0.019 0.000 7.121
```

=====

A PBEsol-optimized structure of Zr5Ru, computed with meta-GGA SCAN. Values from VASP.

Formation energy ... -1.3 eV/f.u.

The structure in Quantum ESPRESSO input format:
```
&SYSTEM
  ibrav = 0, nat = 6, ntyp = 2
/
ATOMIC_SPECIES
Zr 91.22 Zr.upf
Ru 101.07 Ru.upf
ATOMIC_POSITIONS angstrom
Zr 0.000 0.000 0.000
Zr 3.156 0.000 1.287
Zr 2.267 0.000 4.412
Zr 6.173 0.000 2.420
Zr 5.284 0.000 5.545
Ru -1.206 0.000 3.416
CELL_PARAMETERS angstrom
5.426 -1.636 0.000
5.426 1.636 0.000
-2.411 0.000 6.832
```